(1)
An optimized crystal structure of LaZr2Si2, computed with PBE.

```
LaZr2Si2
1.0
7.6177 0.0000 0.0000
0.0000 7.6177 0.0000
0.0000 0.0000 3.5912
La Zr Si
2 4 4
Direct
0.0000 0.0000 0.0000
0.5000 0.5000 0.0000
0.1707 0.3293 0.5000
0.3293 0.8293 0.5000
0.6707 0.1707 0.5000
0.8293 0.6707 0.5000
0.1156 0.6156 0.0000
0.3844 0.1156 0.0000
0.6156 0.8844 0.0000
0.8844 0.3844 0.0000
```

For the energy above the most stable polymorph in this dataset, the calculation gives 0.00 eV/f.u. Its magnetic moment is 0.0000 μB/atom. Its space group is P4/mbm, No. 127. The formation energy without anion corrections comes out at -628 meV/atom.

=====

(2)
An optimized crystal structure of SrCaRu2, computed with PBE.

```
SrCaRu2
1.0
4.0955 0.0000 0.0000
0.0000 5.0274 0.0000
0.0000 0.0000 9.9594
Sr Ca Ru
2 2 4
Direct
0.0000 0.0000 0.0000
0.5000 0.5000 0.5000
0.0000 0.5000 0.7784
0.5000 0.0000 0.2784
0.0000 0.0000 0.6001
0.0000 0.5000 0.2129
0.5000 0.0000 0.7129
0.5000 0.5000 0.1001
```

For the energy above the most stable polymorph in this dataset, the calculation gives 0.00 eV/f.u. Its magnetic moment is 0.0000 μB/atom. Its space group is Imm2, No. 44. The calculation puts the formation enthalpy at 0 K at 0.30 eV/atom.

=====

(3)
An optimized crystal structure of RePPt2, computed with PBE.

```
RePPt2
1.0
2.8031 0.0000 0.0000
0.0000 4.0050 0.0000
0.0000 0.0000 5.3461
Re P Pt
1 1 2
Direct
0.0000 0.0000 0.0000
0.0000 0.0000 0.5000
0.5000 0.5000 0.2457
0.5000 0.5000 0.7543
```

For the energy above the most stable polymorph in this dataset, the calculation gives 1.09 eV/f.u. Its magnetic moment is 0.0000 μB/atom. Its space group is Pmmm, No. 47. The calculation puts the formation enthalpy at 0 K at 0.18 eV/atom.

=====

(4)
An optimized crystal structure of Ca2TlSnS, computed with PBE.

```
Ca2TlSnS
1.0
5.9252 0.0000 0.0000
0.0000 5.9252 0.0000
0.0000 0.0000 5.5577
Ca Tl Sn S
2 1 1 1
Direct
0.0000 0.5000 0.0000
0.5000 0.0000 0.0000
0.0000 0.0000 0.5000
0.0000 0.0000 0.0000
0.5000 0.5000 0.5000
```

Its magnetic moment is 0.0000 μB/atom. Its space group is P4/mmm, No. 123. The formation energy without anion corrections comes out at -142 meV/atom.

=====

(5)
An optimized crystal structure of Li2Tc2H7, computed with PBE.

```
Li2Tc2H7
1.0
2.7487 -3.3002 0.0000
2.7487 3.3002 0.0000
0.0000 0.0000 4.4994
Li Tc H
2 2 7
Direct
0.2437 0.2437 0.0000
0.7563 0.7563 0.0000
0.2640 0.7360 0.5000
0.7360 0.2640 0.5000
0.0000 0.0000 0.5000
0.0000 0.5000 0.2368
0.0000 0.5000 0.7632
0.5000 0.0000 0.2368
0.5000 0.0000 0.7632
0.5000 0.5000 0.2948
0.5000 0.5000 0.7052
```

Its magnetic moment is 0.0000 μB/atom. Its space group is Cmmm, No. 65.

=====

(6)
An optimized crystal structure of Ac2NdCd, computed with PBE.

```
Ac2NdCd
1.0
5.4029 0.0000 0.0000
0.0000 5.4029 0.0000
0.0000 0.0000 4.9346
Ac Nd Cd
2 1 1
Direct
0.0000 0.5000 0.0000
0.5000 0.0000 0.0000
0.0000 0.0000 0.5000
0.5000 0.5000 0.5000
```

For the energy above the most stable polymorph in this dataset, the calculation gives 0.31 eV/f.u. Its magnetic moment is 0.0001 μB/atom. Its space group is P4/mmm, No. 123. The calculation puts the formation enthalpy at 0 K at -0.05 eV/atom.

=====

(7)
An optimized crystal structure of Pm2Hg3Rh2, computed with PBE.

```
Pm2Hg3Rh2
1.0
4.0845 0.0000 0.0000
0.0000 20.7449 0.0000
0.0000 0.0000 3.8946
Pm Hg Rh
4 6 4
Direct
0.0000 0.1713 0.0000
0.0000 0.8287 0.0000
0.5000 0.3287 0.0000
0.5000 0.6713 0.0000
0.0000 0.0000 0.0000
0.0000 0.4270 0.5000
0.0000 0.5730 0.5000
0.5000 0.0730 0.5000
0.5000 0.5000 0.0000
0.5000 0.9270 0.5000
0.0000 0.2942 0.5000
0.0000 0.7058 0.5000
0.5000 0.2058 0.5000
0.5000 0.7942 0.5000
```

For the energy above the most stable polymorph in this dataset, the calculation gives 0.00 eV/f.u. Its magnetic moment is 0.0000 μB/atom. Its space group is Cmmm, No. 65. The calculation puts the formation enthalpy at 0 K at -0.48 eV/atom.

=====

(8)
An optimized crystal structure of Mn2TcNiH, computed with PBE.

```
Mn2TcNiH
1.0
3.6961 0.0000 0.0000
0.0000 3.6961 0.0000
0.0000 0.0000 3.5531
Mn Tc Ni H
2 1 1 1
Direct
0.0000 0.5000 0.0000
0.5000 0.0000 0.0000
0.0000 0.0000 0.5000
0.5000 0.5000 0.5000
0.5000 0.5000 0.0000
```

For the energy above the most stable polymorph in this dataset, the calculation gives 0.00 eV/f.u. Its magnetic moment is 0.0001 μB/atom. Its space group is P4/mmm, No. 123.

=====

(9)
An optimized crystal structure of BaPdI3, computed with PBE.

```
BaPdI3
1.0
6.7430 0.0000 0.0000
0.0000 6.7430 0.0000
0.0000 0.0000 6.7430
Ba Pd I
1 1 3
Direct
0.0000 0.0000 0.0000
0.5000 0.5000 0.5000
0.0000 0.0000 0.5000
0.0000 0.5000 0.0000
0.5000 0.0000 0.0000
```

For the energy above the most stable polymorph in this dataset, the calculation gives 3.45 eV/f.u. Its magnetic moment is 0.2000 μB/atom. Its space group is Pm-3m, No. 221. The formation energy without anion corrections comes out at -272 meV/atom.

=====

(10)
An optimized crystal structure of Na2InAs2Pd5, computed with PBE.

```
Na2InAs2Pd5
1.0
10.4534 0.0000 0.0000
0.0000 10.4534 0.0000
0.0000 0.0000 3.3658
Na In As Pd
4 2 4 10
Direct
0.1743 0.3257 0.0000
0.3257 0.8257 0.0000
0.6743 0.1743 0.0000
0.8257 0.6743 0.0000
0.0000 0.0000 0.0000
0.5000 0.5000 0.0000
0.1286 0.6286 0.0000
0.3714 0.1286 0.0000
0.6286 0.8714 0.0000
0.8714 0.3714 0.0000
0.0000 0.5000 0.5000
0.0584 0.7952 0.5000
0.2048 0.0584 0.5000
0.2952 0.5584 0.5000
0.4416 0.2952 0.5000
0.5000 0.0000 0.5000
0.5584 0.7048 0.5000
0.7048 0.4416 0.5000
0.7952 0.9416 0.5000
0.9416 0.2048 0.5000
```

Its magnetic moment is 0.0000 μB/atom. Its space group is P4/mbm, No. 127. The calculation puts the formation enthalpy at 0 K at -0.42 eV/atom.

=====

(11)
An optimized crystal structure of KTcHg, computed with PBE.

```
KTcHg
1.0
2.8563 0.0000 0.0000
0.0000 2.8563 0.0000
0.0000 0.0000 16.1296
K Tc Hg
2 2 2
Direct
0.0000 0.0000 0.0000
0.5000 0.5000 0.5000
0.0000 0.0000 0.6749
0.5000 0.5000 0.1749
0.0000 0.0000 0.3149
0.5000 0.5000 0.8149
```

For the energy above the most stable polymorph in this dataset, the calculation gives 0.29 eV/f.u. Its magnetic moment is 0.0369 μB/atom. Its space group is I4mm, No. 107. The calculation puts the formation enthalpy at 0 K at 0.93 eV/atom.

=====

(12)
An optimized crystal structure of VZnB, computed with PBE.

```
VZnB
1.0
10.5117 0.0000 0.0000
0.0000 2.9821 0.0000
-0.7413 0.0000 4.3530
V Zn B
4 4 4
Direct
0.0000 0.0000 0.0000
0.0728 0.5000 0.5793
0.5000 0.5000 0.0000
0.5728 0.0000 0.5793
0.2740 0.0000 0.8857
0.3527 0.5000 0.4382
0.7740 0.5000 0.8857
0.8527 0.0000 0.4382
0.1487 0.5000 0.1279
0.1677 0.0000 0.3368
0.6487 0.0000 0.1279
0.6677 0.5000 0.3368
```

For the energy above the most stable polymorph in this dataset, the calculation gives 1.13 eV/f.u. Its magnetic moment is 0.0000 μB/atom. Its space group is Cm, No. 8. The calculation puts the formation enthalpy at 0 K at -0.04 eV/atom.

=====

(13)
An optimized crystal structure of AlRe2F, computed with PBE.

```
AlRe2F
1.0
7.1206 0.0000 0.0000
0.0000 7.1206 0.0000
0.0000 0.0000 4.6317
Al Re F
4 8 4
Direct
0.0000 0.0000 0.0000
0.0000 0.5000 0.2500
0.5000 0.0000 0.7500
0.5000 0.5000 0.5000
0.1817 0.2500 0.6250
0.2500 0.6817 0.8750
0.2500 0.8183 0.3750
0.3183 0.2500 0.1250
0.6817 0.7500 0.1250
0.7500 0.1817 0.3750
0.7500 0.3183 0.8750
0.8183 0.7500 0.6250
0.0000 0.0000 0.5000
0.0000 0.5000 0.7500
0.5000 0.0000 0.2500
0.5000 0.5000 0.0000
```

For the energy above the most stable polymorph in this dataset, the calculation gives 0.00 eV/f.u. Its magnetic moment is 0.0000 μB/atom. Its space group is I-42d, No. 122. The formation energy without anion corrections comes out at 484 meV/atom.

=====

(14)
An optimized crystal structure of Pu2CrRh, computed with PBE.

```
Pu2CrRh
1.0
3.5296 0.0000 0.0000
0.0000 3.5296 0.0000
0.0000 0.0000 6.3209
Pu Cr Rh
2 1 1
Direct
0.0000 0.0000 0.2468
0.0000 0.0000 0.7532
0.5000 0.5000 0.5000
0.5000 0.5000 0.0000
```

Its magnetic moment is 1.8346 μB/atom. Its space group is P4/mmm, No. 123. The calculation puts the formation enthalpy at 0 K at -0.02 eV/atom.

=====

(15)
An optimized crystal structure of KAc2AuS4, computed with PBE.

```
KAc2AuS4
1.0
2.1621 -7.2671 0.0000
2.1621 7.2671 0.0000
0.0000 0.0000 14.8467
K Ac Au S
2 4 2 8
Direct
0.1148 0.8852 0.7500
0.8852 0.1148 0.2500
0.3672 0.6328 0.5648
0.3672 0.6328 0.9352
0.6328 0.3672 0.0648
0.6328 0.3672 0.4352
0.1549 0.8451 0.2500
0.8451 0.1549 0.7500
0.0000 0.0000 0.0000
0.0000 0.0000 0.5000
0.2646 0.7354 0.1113
0.2646 0.7354 0.3887
0.4420 0.5580 0.7500
0.5580 0.4420 0.2500
0.7354 0.2646 0.6113
0.7354 0.2646 0.8887
```

Its magnetic moment is 0.0000 μB/atom. Its space group is Cmcm, No. 63. The formation energy without anion corrections comes out at -1607 meV/atom.

=====

(16)
An optimized crystal structure of ThZnGaCu, computed with PBE.

```
ThZnGaCu
1.0
6.7688 0.0000 0.0000
0.0000 6.7688 0.0000
0.0000 0.0000 6.7688
Th Zn Ga Cu
4 4 4 4
Direct
0.0000 0.0000 0.0000
0.0000 0.5000 0.5000
0.5000 0.0000 0.5000
0.5000 0.5000 0.0000
0.2500 0.2500 0.2500
0.2500 0.7500 0.7500
0.7500 0.2500 0.7500
0.7500 0.7500 0.2500
0.0000 0.0000 0.5000
0.0000 0.5000 0.0000
0.5000 0.0000 0.0000
0.5000 0.5000 0.5000
0.2500 0.2500 0.7500
0.2500 0.7500 0.2500
0.7500 0.2500 0.2500
0.7500 0.7500 0.7500
```

Its magnetic moment is 0.0000 μB/atom. Its space group is F-43m, No. 216. The calculation puts the formation enthalpy at 0 K at -0.22 eV/atom.

=====

(17)
An optimized crystal structure of Na7TlHg4, computed with PBE.

```
Na7TlHg4
1.0
7.3018 -2.9409 0.0000
7.3018 2.9409 0.0000
-4.7218 0.0000 8.2247
Na Tl Hg
7 1 4
Direct
0.0000 0.0000 0.0000
0.2467 0.2467 0.7094
0.3098 0.3098 0.1240
0.4253 0.4253 0.5939
0.5747 0.5747 0.4061
0.6902 0.6902 0.8760
0.7533 0.7533 0.2906
0.5000 0.5000 0.0000
0.0335 0.0335 0.6896
0.1863 0.1863 0.3440
0.8137 0.8137 0.6560
0.9665 0.9665 0.3104
```

For the energy above the most stable polymorph in this dataset, the calculation gives 0.58 eV/f.u. Its magnetic moment is 0.0000 μB/atom. Its space group is C2/m, No. 12. The calculation puts the formation enthalpy at 0 K at -0.13 eV/atom.

=====

(18)
An optimized crystal structure of Pr5SmSn4, computed with PBE.

```
Pr5SmSn4
1.0
8.3521 -2.7509 0.0000
8.3521 2.7509 0.0000
-0.0545 0.0000 7.3304
Pr Sm Sn
5 1 4
Direct
0.0000 0.0000 0.0000
0.3330 0.3330 0.4922
0.3342 0.3342 0.0045
0.6658 0.6658 0.9955
0.6670 0.6670 0.5078
0.0000 0.0000 0.5000
0.1741 0.1741 0.7495
0.4918 0.4918 0.7451
0.5082 0.5082 0.2549
0.8259 0.8259 0.2505
```

Its magnetic moment is 0.0000 μB/atom. Its space group is C2/m, No. 12. The calculation puts the formation enthalpy at 0 K at -0.56 eV/atom.

=====

(19)
An optimized crystal structure of LaBe, computed with PBE.

```
LaBe
1.0
3.4512 0.0000 0.0000
0.0000 4.4351 0.0000
0.0000 0.0000 6.2803
La Be
2 2
Direct
0.2500 0.2500 0.1871
0.7500 0.7500 0.8129
0.2500 0.2500 0.6394
0.7500 0.7500 0.3606
```

For the energy above the most stable polymorph in this dataset, the calculation gives 0.97 eV/f.u. Its magnetic moment is 0.0000 μB/atom. Its space group is Pmmn, No. 59. The calculation puts the formation enthalpy at 0 K at 0.52 eV/atom.

=====

(20)
An optimized crystal structure of YRuPb3, computed with PBE.

```
YRuPb3
1.0
5.7827 0.0000 0.0000
0.0000 5.7827 0.0000
0.0000 0.0000 5.7827
Y Ru Pb
1 1 3
Direct
0.0000 0.0000 0.0000
0.5000 0.5000 0.5000
0.0000 0.0000 0.5000
0.0000 0.5000 0.0000
0.5000 0.0000 0.0000
```

For the energy above the most stable polymorph in this dataset, the calculation gives 5.41 eV/f.u. Its magnetic moment is 0.5709 μB/atom. Its space group is Pm-3m, No. 221. The calculation puts the formation enthalpy at 0 K at 1.37 eV/atom.

=====

Number 1: E -0.265 hartree per atom, calculated volume 20.839 Å³/atom. Number 2: E -0.193 hartree per atom, calculated volume 25.633 Å³/atom. Number 3: E -0.268 hartree per atom, calculated volume 15.004 Å³/atom. Number 4: E -0.112 hartree per atom, calculated volume 39.023 Å³/atom. Number 5: E -0.163 hartree per atom, calculated volume 7.421 Å³/atom. Number 6: E -0.130 hartree per atom, calculated volume 36.012 Å³/atom. Number 7: E -0.149 hartree per atom, calculated volume 23.571 Å³/atom. Number 8: E -0.277 hartree per atom, calculated volume 9.708 Å³/atom. Number 9: E -0.096 hartree per atom, calculated volume 61.318 Å³/atom. Number 10: E -0.165 hartree per atom, calculated volume 18.390 Å³/atom. Number 11: E -0.110 hartree per atom, calculated volume 21.932 Å³/atom. Number 12: E -0.211 hartree per atom, calculated volume 11.371 Å³/atom. Number 13: E -0.263 hartree per atom, calculated volume 14.677 Å³/atom. Number 14: E -0.420 hartree per atom, calculated volume 19.687 Å³/atom. Number 15: E -0.193 hartree per atom, calculated volume 29.159 Å³/atom. Number 16: E -0.153 hartree per atom, calculated volume 19.383 Å³/atom. Number 17: E -0.044 hartree per atom, calculated volume 29.436 Å³/atom. Number 18: E -0.185 hartree per atom, calculated volume 33.684 Å³/atom. Number 19: E -0.140 hartree per atom, calculated volume 24.032 Å³/atom. Number 20: E -0.147 hartree per atom, calculated volume 38.675 Å³/atom.